Record 1
Here is a relaxed structure of MgVAs2Br from Alexandria via LeMat-Bulk. Energies are from GGA-PBE.

Cell lengths 4.7125, 4.7125, 5.4437 Å; angles 90.00, 90.00, 90.00 degrees
Last column: magnetic moment on the atom in μB.
Fractional coordinates of all 5 atoms:
As  0.0000  0.5000  0.0000  -0.11
As  0.5000  0.0000  0.0000  -0.11
Mg  0.5000  0.5000  0.5000  0.03
Br  0.0000  0.0000  0.5000  -0.02
V  0.0000  0.0000  0.0000  1.05

Excess energy over the best structure of this formula in the dataset ... 0 meV per atom
Formation energy without anion corrections ... 0.015 eV per atom
Symmetry ... P4/mmm
V ... 24.2 Å³ per atom

Record 2
Here is a relaxed structure of PrSm5Y6 from Alexandria via LeMat-Bulk. Energies are from GGA-PBE.

Cell lengths 6.2477, 8.0509, 8.0509 Å; angles 84.57, 97.52, 97.52 degrees
Fractional coordinates of all 12 atoms:
Pr  0.0000  0.0000  0.0000
Y  0.7500  0.9165  0.5829
Y  0.2500  0.4171  0.0835
Y  0.2507  0.7497  0.7497
Y  0.7493  0.2503  0.2503
Y  0.7500  0.5829  0.9165
Y  0.2500  0.0835  0.4171
Sm  0.5000  0.8324  0.1676
Sm  0.0000  0.6659  0.3341
Sm  0.5000  0.5000  0.5000
Sm  0.0000  0.3341  0.6659
Sm  0.5000  0.1676  0.8324

Excess energy over the best structure of this formula in the dataset ... 4 meV per atom
Symmetry ... C2/m
V ... 33.1 Å³ per atom

Record 3
Here is a relaxed structure of ReSe2Br from Alexandria via LeMat-Bulk. Energies are from GGA-PBE.

Cell lengths 3.2063, 3.2063, 11.4083 Å; angles 90.00, 90.00, 126.85 degrees
Fractional coordinates of all 4 atoms:
Br  0.5000  0.5000  0.2500
Re  0.5000  0.5000  0.7500
Se  0.0000  0.0000  0.9306
Se  0.0000  0.0000  0.5694

Excess energy over the best structure of this formula in the dataset ... 451 meV per atom
Formation energy without anion corrections ... 0.442 eV per atom
Symmetry ... Cmmm
V ... 23.5 Å³ per atom